Compound: Na3LiTl4Br8
Source: the Alexandria database
Functional: PBE
Structure: relaxed

a = 8.8157 Å, b = 9.0964 Å, c = 8.8201 Å
α = 119.01°, β = 119.98°, γ = 90.00°
Last column: nearest neighbours and their distance in Å.
Positions (direct):
Na: 0.5000 0.5000 0.0000  6 Br 3.02-3.03
Na: 0.5000 0.5000 0.5000  6 Br 3.02-3.04
Na: 0.0000 0.5000 0.5000  6 Br 3.02-3.04
Li: 0.0000 0.5000 0.0000  6 Br 2.94-2.95
Tl: 0.5000 0.0000 0.0000  6 Br 3.40-3.41
Tl: 0.5000 0.0000 0.5000  6 Br 3.32-3.33
Tl: 0.0000 0.0000 0.0000  6 Br 3.32-3.33
Tl: 0.0000 0.0000 0.5000  6 Br 3.32-3.33
Br: 0.2319 0.7108 0.9790  1 Li 2.94, 2 Na 3.03-3.04
Br: 0.2326 0.7115 0.4652  1 Li 2.95, 2 Na 3.03
Br: 0.2615 0.2844 0.5229  3 Na 3.02, 3 Tl 3.33
Br: 0.7471 0.7108 0.9790  1 Li 2.94, 2 Na 3.03-3.04
Br: 0.2529 0.2892 0.0210  1 Li 2.94, 2 Na 3.03-3.04
Br: 0.7385 0.7156 0.4771  3 Na 3.02, 3 Tl 3.33
Br: 0.7674 0.2885 0.5348  1 Li 2.95, 2 Na 3.03
Br: 0.7681 0.2892 0.0210  1 Li 2.94, 2 Na 3.03-3.04

Computed properties:
ΔE_f (raw), eV per atom: -1.181
Volume, A^3/atom: 31.72
Raw total energy, eV/atom: -2.98
SG: R-3m (166)
Total moment, μB/f.u.: 0.000